DFT (SCAN) results for a PBEsol-optimized structure of AgTe2Mo.

Values from the calculation:
- E: -35.0653 eV/atom
- Total moment: 0.0 μB/cell
- DOS(E_F): 2.3 states/eV/f.u.
- Raw formation energy: 2.84 kcal/mol of atoms
- ρ: 8.93 Mg/m³

Cell: 8.4837 8.4837 8.4837 Å, 23.51 23.51 23.51°
Closest atoms and distances in Å follow each position.
Sites, in units of the cell vectors:
Ag 0.0000 0.0000 0.0000  6 Te 3.01
Te 0.2421 0.2421 0.2421  3 Mo 2.73, 3 Ag 3.01
Te 0.7579 0.7579 0.7579  3 Mo 2.73, 3 Ag 3.01
Mo 0.5000 0.5000 0.5000  6 Te 2.73

=====

DFT (SCAN) results for a PBEsol-optimized structure of Ag3Hg2.

Values from the calculation:
- E: -46.0233 eV/atom
- Formation enthalpy at 0 K: 31 kJ/mol of formula units
- Total moment: 0.0 μB/cell
- DOS(E_F): 1.2 states/eV/f.u.
- ρ: 13.04 Mg/m³

Cell: 11.8249 11.8249 11.8249 Å, 14.67 14.67 14.67°
Closest atoms and distances in Å follow each position.
Sites, in units of the cell vectors:
Ag 0.0000 0.0000 0.0000  6 Hg 2.95, 6 Ag 3.02
Ag 0.1983 0.1983 0.1983  9 Ag 2.82-3.02, 3 Hg 2.94
Ag 0.8017 0.8017 0.8017  9 Ag 2.82-3.02, 3 Hg 2.94
Hg 0.4010 0.4010 0.4010  6 Ag 2.94-2.95, 6 Hg 3.02
Hg 0.5990 0.5990 0.5990  6 Ag 2.94-2.95, 6 Hg 3.02

=====

DFT (SCAN) results for a PBEsol-optimized structure of ScTlB2.

Values from the calculation:
- E: -24.3615 eV/atom
- Formation enthalpy at 0 K: 387 kJ/mol of formula units
- Total moment: 0.0 μB/cell
- DOS(E_F): 2.1 states/eV/f.u.
- ρ: 7.94 Mg/m³

Cell: 4.3112 4.3112 4.3112 Å, 60.00 60.00 60.00°
Closest atoms and distances in Å follow each position.
Sites, in units of the cell vectors:
Sc 0.0000 0.0000 0.0000  8 B 2.64
Tl 0.5000 0.5000 0.5000  8 B 2.64
B 0.2500 0.2500 0.2500  4 Tl 2.64, 4 Sc 2.64
B 0.7500 0.7500 0.7500  4 Tl 2.64, 4 Sc 2.64

=====

DFT (SCAN) results for a PBEsol-optimized structure of Li4CrCo3O8.

Values from the calculation:
- E: -10.1385 eV/atom
- Total moment: 3.0 μB/cell
- DOS(E_F): 0.0 states/eV/f.u.
- Raw formation energy: -46.85 kcal/mol of atoms
- ρ: 4.97 Mg/m³

Cell: 5.6821 5.6821 5.6821 Å, 59.59 59.59 59.59°
Closest atoms and distances in Å follow each position.
Sites, in units of the cell vectors:
Li 0.0000 0.0000 0.0000  6 O 2.06
Li 0.0000 0.5000 0.5000  6 O 2.09-2.10
Li 0.5000 0.0000 0.5000  6 O 2.09-2.10
Li 0.5000 0.5000 0.0000  6 O 2.09-2.10
Cr 0.5000 0.5000 0.5000  6 O 1.96
Co 0.0000 0.0000 0.5000  6 O 1.91-1.92
Co 0.0000 0.5000 0.0000  6 O 1.91-1.92
Co 0.5000 0.0000 0.0000  6 O 1.91-1.92
O 0.2353 0.7439 0.7439  2 Co 1.92, 1 Cr 1.96, 3 Li 2.06-2.09
O 0.2382 0.2382 0.2382  3 Co 1.91, 3 Li 2.10
O 0.2561 0.2561 0.7647  2 Co 1.92, 1 Cr 1.96, 3 Li 2.06-2.09
O 0.2561 0.7647 0.2561  2 Co 1.92, 1 Cr 1.96, 3 Li 2.06-2.09
O 0.7439 0.2353 0.7439  2 Co 1.92, 1 Cr 1.96, 3 Li 2.06-2.09
O 0.7439 0.7439 0.2353  2 Co 1.92, 1 Cr 1.96, 3 Li 2.06-2.09
O 0.7618 0.7618 0.7618  3 Co 1.91, 3 Li 2.10
O 0.7647 0.2561 0.2561  2 Co 1.92, 1 Cr 1.96, 3 Li 2.06-2.09

=====

DFT (SCAN) results for a PBEsol-optimized structure of NiOs2Br.

Values from the calculation:
- E: -44.1756 eV/atom
- Total moment: 0.4 μB/cell
- DOS(E_F): 3.1 states/eV/f.u.
- Raw formation energy: 15.51 kcal/mol of atoms
- ρ: 13.44 Mg/m³

Cell: 2.7826 3.4693 6.6414 Å, 90.00 90.00 90.00°
Closest atoms and distances in Å follow each position.
Sites, in units of the cell vectors:
Ni 0.0000 0.0000 0.0000  2 Br 2.57, 5 Os 2.57-2.61, 2 Ni 2.78
Os 0.0000 0.0000 0.6124  6 Os 2.53-2.78, 1 Ni 2.57, 2 Br 2.78
Os 0.5000 0.5000 0.7947  6 Os 2.53-2.78, 4 Ni 2.61
Br 0.0000 0.5000 0.2855  2 Ni 2.57, 2 Os 2.78, 2 Br 2.78

=====

DFT (SCAN) results for a PBEsol-optimized structure of YBS3.

Values from the calculation:
- E: -12.3452 eV/atom
- Total moment: 2.0 μB/cell
- DOS(E_F): 3.7 states/eV/f.u.
- Raw formation energy: 11.21 kcal/mol of atoms
- ρ: 2.37 Mg/m³

Cell: 5.1576 5.1576 5.1576 Å, 90.00 90.00 90.00°
Closest atoms and distances in Å follow each position.
Sites, in units of the cell vectors:
Y 0.0000 0.0000 0.0000  6 S 2.58
B 0.5000 0.5000 0.5000  12 S 3.65
S 0.0000 0.0000 0.5000  2 Y 2.58
S 0.0000 0.5000 0.0000  2 Y 2.58
S 0.5000 0.0000 0.0000  2 Y 2.58

=====

DFT (SCAN) results for a PBEsol-optimized structure of Ba2CaI6.

Values from the calculation:
- E: -36.2128 eV/atom
- Total moment: 0.0 μB/cell
- DOS(E_F): 0.0 states/eV/f.u.
- Raw formation energy: -42.80 kcal/mol of atoms
- ρ: 4.16 Mg/m³

Cell: 7.5982 27.3101 8.2846 Å, 90.00 90.00 90.00°
Closest atoms and distances in Å follow each position.
Sites, in units of the cell vectors:
Ba 0.0000 0.0540 0.2500  6 I 3.39-3.46
Ba 0.0000 0.2792 0.7500  6 I 3.39-3.43
Ba 0.0000 0.7208 0.2500  6 I 3.39-3.43
Ba 0.0000 0.9460 0.7500  6 I 3.39-3.46
Ba 0.5000 0.2208 0.2500  6 I 3.39-3.43
Ba 0.5000 0.4460 0.7500  6 I 3.39-3.46
Ba 0.5000 0.5540 0.2500  6 I 3.39-3.46
Ba 0.5000 0.7792 0.7500  6 I 3.39-3.43
Ca 0.0000 0.3852 0.2500  6 I 3.10-3.14
Ca 0.0000 0.6148 0.7500  6 I 3.10-3.14
Ca 0.5000 0.1148 0.7500  6 I 3.10-3.14
Ca 0.5000 0.8852 0.2500  6 I 3.10-3.14
I 0.2379 0.4646 0.0855  1 Ca 3.13, 2 Ba 3.43-3.46
I 0.2379 0.5354 0.5855  1 Ca 3.13, 2 Ba 3.43-3.46
I 0.2390 0.3663 0.5467  1 Ca 3.10, 2 Ba 3.39-3.43
I 0.2390 0.6337 0.0467  1 Ca 3.10, 2 Ba 3.39-3.43
I 0.2447 0.3088 0.0776  1 Ca 3.14, 2 Ba 3.39-3.40
I 0.2447 0.6912 0.5776  1 Ca 3.14, 2 Ba 3.39-3.40
I 0.2553 0.1912 0.5776  1 Ca 3.14, 2 Ba 3.39-3.40
I 0.2553 0.8088 0.0776  1 Ca 3.14, 2 Ba 3.39-3.40
I 0.2610 0.1337 0.0467  1 Ca 3.10, 2 Ba 3.39-3.43
I 0.2610 0.8663 0.5467  1 Ca 3.10, 2 Ba 3.39-3.43
I 0.2621 0.0354 0.5855  1 Ca 3.13, 2 Ba 3.43-3.46
I 0.2621 0.9646 0.0855  1 Ca 3.13, 2 Ba 3.43-3.46
I 0.7379 0.0354 0.9145  1 Ca 3.13, 2 Ba 3.43-3.46
I 0.7379 0.9646 0.4145  1 Ca 3.13, 2 Ba 3.43-3.46
I 0.7390 0.1337 0.4533  1 Ca 3.10, 2 Ba 3.39-3.43
I 0.7390 0.8663 0.9533  1 Ca 3.10, 2 Ba 3.39-3.43
I 0.7447 0.1912 0.9224  1 Ca 3.14, 2 Ba 3.39-3.40
I 0.7447 0.8088 0.4224  1 Ca 3.14, 2 Ba 3.39-3.40
I 0.7553 0.3088 0.4224  1 Ca 3.14, 2 Ba 3.39-3.40
I 0.7553 0.6912 0.9224  1 Ca 3.14, 2 Ba 3.39-3.40
I 0.7610 0.3663 0.9533  1 Ca 3.10, 2 Ba 3.39-3.43
I 0.7610 0.6337 0.4533  1 Ca 3.10, 2 Ba 3.39-3.43
I 0.7621 0.4646 0.4145  1 Ca 3.13, 2 Ba 3.43-3.46
I 0.7621 0.5354 0.9145  1 Ca 3.13, 2 Ba 3.43-3.46

=====

DFT (SCAN) results for a PBEsol-optimized structure of As2RuBr.

Values from the calculation:
- E: -23.1203 eV/atom
- Total moment: 0.0 μB/cell
- DOS(E_F): 3.4 states/eV/f.u.
- Raw formation energy: 12.60 kcal/mol of atoms
- ρ: 7.54 Mg/m³

Cell: 3.0205 3.0205 9.1850 Å, 90.00 90.00 119.58°
Closest atoms and distances in Å follow each position.
Sites, in units of the cell vectors:
As 0.0000 0.0000 0.0000  8 As 2.86-3.04, 2 Br 3.18
As 0.5000 0.5000 0.2635  2 Ru 2.41
Ru 0.0000 0.0000 0.4668  2 As 2.41, 2 Br 2.60
Br 0.5000 0.5000 0.6964  2 Ru 2.60

=====

DFT (SCAN) results for a PBEsol-optimized structure of ReIrOs.

Values from the calculation:
- E: -71.0450 eV/atom
- Formation enthalpy at 0 K: 91 kJ/mol of formula units
- Total moment: 0.0 μB/cell
- DOS(E_F): 0.9 states/eV/f.u.
- ρ: 18.77 Mg/m³

Cell: 4.1434 4.1434 4.1434 Å, 60.00 60.00 60.00°
Closest atoms and distances in Å follow each position.
Sites, in units of the cell vectors:
Re 0.0000 0.0000 0.0000  4 Os 2.54, 4 Ir 2.54
Ir 0.7500 0.7500 0.7500  4 Re 2.54
Os 0.2500 0.2500 0.2500  4 Re 2.54

=====

DFT (SCAN) results for a PBEsol-optimized structure of CuIr2Br.

Values from the calculation:
- E: -43.3157 eV/atom
- Total moment: 0.0 μB/cell
- DOS(E_F): 4.1 states/eV/f.u.
- Raw formation energy: 20.72 kcal/mol of atoms
- ρ: 14.67 Mg/m³

Cell: 2.7566 4.5455 4.7685 Å, 90.00 90.00 90.00°
Closest atoms and distances in Å follow each position.
Sites, in units of the cell vectors:
Cu 0.0000 0.0000 0.0000  4 Ir 2.66, 4 Br 2.75, 2 Cu 2.76
Ir 0.0000 0.5000 0.5000  4 Br 2.66, 6 Ir 2.75-2.76
Ir 0.5000 0.5000 0.0000  4 Cu 2.66, 6 Ir 2.75-2.76
Br 0.5000 0.0000 0.5000  4 Ir 2.66, 4 Cu 2.75, 2 Br 2.76

=====

DFT (SCAN) results for a PBEsol-optimized structure of MnRu2.

Values from the calculation:
- E: -29.1848 eV/atom
- Formation enthalpy at 0 K: 34 kJ/mol of formula units
- Total moment: 3.1 μB/cell
- DOS(E_F): 2.9 states/eV/f.u.
- ρ: 10.97 Mg/m³

Cell: 4.1438 4.1438 2.6176 Å, 90.00 90.00 120.00°
Closest atoms and distances in Å follow each position.
Sites, in units of the cell vectors:
Mn 0.0000 0.0000 0.0000  6 Ru 2.49, 2 Mn 2.62
Ru 0.3333 0.6667 0.7348  3 Mn 2.49, 8 Ru 2.62-2.77
Ru 0.6667 0.3333 0.2652  3 Mn 2.49, 8 Ru 2.62-2.77

=====

DFT (SCAN) results for a PBEsol-optimized structure of MoIr2Rh.

Values from the calculation:
- E: -53.0214 eV/atom
- Formation enthalpy at 0 K: -119 kJ/mol of formula units
- Total moment: 0.2 μB/cell
- DOS(E_F): 2.7 states/eV/f.u.
- ρ: 17.20 Mg/m³

Cell: 3.8428 3.8428 3.8131 Å, 90.00 90.00 90.00°
Closest atoms and distances in Å follow each position.
Sites, in units of the cell vectors:
Mo 0.0000 0.0000 0.0000  8 Ir 2.71, 4 Rh 2.72
Ir 0.0000 0.5000 0.5000  4 Mo 2.71, 4 Rh 2.71, 4 Ir 2.72
Ir 0.5000 0.0000 0.5000  4 Mo 2.71, 4 Rh 2.71, 4 Ir 2.72
Rh 0.5000 0.5000 0.0000  8 Ir 2.71, 4 Mo 2.72